A plane-wave DFT calculation with PBE was carried out for a geometry-optimized Tl3Ga9Ag2 structure.

Results
Total DFT energy (no corrections): -2.828 eV per atom
V: 21.49 A^3/atom
Fermi-level density of states: 5.4 states/eV/cell
SG: Immm (71)

Cell: 4.4341 8.6224 8.6224 Å, 74.74 75.10 75.10°
Closest atoms and distances in Å follow each position.
Fractional positions:
Tl1 0.3151 0.6849 0.6849  10 Ga 3.23-3.28, 2 Ag 3.24
Ga1 0.3332 0.0384 0.2951  4 Ga 2.69-2.73, 1 Ag 2.76
Ga2 0.3332 0.2951 0.0384  4 Ga 2.69-2.73, 1 Ag 2.76
Ga3 0.8624 0.8610 0.4143  4 Ga 2.72-2.94, 2 Ag 2.85
Ga4 0.6668 0.7049 0.9616  4 Ga 2.69-2.73, 1 Ag 2.76
Ga5 0.0000 0.5000 0.5000  4 Ga 2.94, 4 Ag 3.11, 4 Tl 3.27
Ga6 0.1376 0.5857 0.1390  4 Ga 2.72-2.94, 2 Ag 2.85
Tl2 0.6849 0.3151 0.3151  10 Ga 3.23-3.28, 2 Ag 3.24
Ga7 0.8624 0.4143 0.8610  4 Ga 2.72-2.94, 2 Ag 2.85
Ga8 0.6668 0.9616 0.7049  4 Ga 2.69-2.73, 1 Ag 2.76
Ag1 0.5000 0.2916 0.7084  6 Ga 2.76-2.85
Tl3 0.0000 0.0000 0.0000  12 Ga 3.38-3.40, 4 Ag 3.77
Ga9 0.1376 0.1390 0.5857  4 Ga 2.72-2.94, 2 Ag 2.85
Ag2 0.5000 0.7084 0.2916  6 Ga 2.76-2.85